Below is a relaxed structure of Er5Pu3S12, with properties calculated at the PBE level.

Computed properties:
The calculation puts the formation energy without anion corrections at -1.730 eV per atom. Its symmetry is Ia-3d, No. 230. Its density of states at the Fermi level is 31.7 states/eV/f.u. The magnetic moment is 15.000 μB/f.u.

```
Er5Pu3S12
1.0
-8.028 8.028 8.028
8.028 -8.028 8.028
8.028 8.028 -8.028
Er Pu S
20 12 48
Direct
0.000 0.000 0.000
0.000 0.000 0.500
0.000 0.500 0.000
0.000 0.500 0.500
0.125 0.750 0.875
0.125 0.875 0.250
0.250 0.125 0.875
0.250 0.625 0.375
0.375 0.250 0.625
0.375 0.625 0.750
0.500 0.000 0.000
0.500 0.000 0.500
0.500 0.500 0.000
0.500 0.500 0.500
0.625 0.375 0.250
0.625 0.750 0.375
0.750 0.375 0.625
0.750 0.875 0.125
0.875 0.125 0.750
0.875 0.250 0.125
0.125 0.250 0.375
0.125 0.375 0.750
0.250 0.375 0.125
0.250 0.875 0.625
0.375 0.125 0.250
0.375 0.750 0.125
0.625 0.250 0.875
0.625 0.875 0.750
0.750 0.125 0.375
0.750 0.625 0.875
0.875 0.625 0.250
0.875 0.750 0.625
0.047 0.221 0.131
0.047 0.326 0.916
0.084 0.631 0.409
0.084 0.953 0.674
0.091 0.721 0.674
0.091 0.869 0.416
0.131 0.047 0.221
0.131 0.584 0.909
0.174 0.221 0.591
0.174 0.453 0.584
0.221 0.131 0.047
0.221 0.591 0.174
0.279 0.326 0.909
0.279 0.453 0.369
0.326 0.909 0.279
0.326 0.916 0.047
0.369 0.279 0.453
0.369 0.591 0.916
0.409 0.084 0.631
0.409 0.826 0.779
0.416 0.091 0.869
0.416 0.826 0.547
0.453 0.369 0.279
0.453 0.584 0.174
0.547 0.416 0.826
0.547 0.631 0.721
0.584 0.174 0.453
0.584 0.909 0.131
0.591 0.174 0.221
0.591 0.916 0.369
0.631 0.409 0.084
0.631 0.721 0.547
0.674 0.084 0.953
0.674 0.091 0.721
0.721 0.547 0.631
0.721 0.674 0.091
0.779 0.409 0.826
0.779 0.869 0.953
0.826 0.547 0.416
0.826 0.779 0.409
0.869 0.416 0.091
0.869 0.953 0.779
0.909 0.131 0.584
0.909 0.279 0.326
0.916 0.047 0.326
0.916 0.369 0.591
0.953 0.674 0.084
0.953 0.779 0.869
```



Below is a relaxed structure of ErPuS3, with properties calculated at the PBE level.

Computed properties:
The calculation puts the formation energy without anion corrections at -1.868 eV per atom. Its symmetry is Pnma, No. 62. Its density of states at the Fermi level is 7.3 states/eV/f.u. The magnetic moment is 5.000 μB/f.u. The relative energy among the computed polymorphs is 0 meV per atom.

```
ErPuS3
1.0
7.283 0.000 0.000
0.000 3.920 0.000
0.000 0.000 15.030
Er Pu S
4 4 12
Direct
0.235 0.250 0.042
0.265 0.750 0.542
0.735 0.250 0.458
0.765 0.750 0.958
0.139 0.750 0.293
0.361 0.250 0.793
0.639 0.750 0.207
0.861 0.250 0.707
0.011 0.750 0.106
0.124 0.250 0.434
0.147 0.750 0.719
0.353 0.250 0.219
0.376 0.750 0.934
0.489 0.250 0.606
0.511 0.750 0.394
0.624 0.250 0.066
0.647 0.750 0.781
0.853 0.250 0.281
0.876 0.750 0.566
0.989 0.250 0.894
```



Below is a relaxed structure of Er2PuS4, with properties calculated at the PBE level.

Computed properties:
The calculation puts the formation energy without anion corrections at -1.954 eV per atom. Its symmetry is Cmcm, No. 63. Its density of states at the Fermi level is 14.7 states/eV/f.u. The magnetic moment is 5.619 μB/f.u. The relative energy among the computed polymorphs is 0 meV per atom.

```
Er2PuS4
1.0
1.927 -6.395 0.000
1.927 6.395 0.000
0.000 0.000 13.039
Er Pu S
4 2 8
Direct
0.133 0.867 0.568
0.133 0.867 0.932
0.867 0.133 0.068
0.867 0.133 0.432
0.382 0.618 0.750
0.618 0.382 0.250
0.040 0.960 0.750
0.228 0.772 0.121
0.228 0.772 0.379
0.500 0.500 0.000
0.500 0.500 0.500
0.772 0.228 0.621
0.772 0.228 0.879
0.960 0.040 0.250
```



Below is a relaxed structure of Er6PuS8, with properties calculated at the PBE level.

Computed properties:
The calculation puts the formation energy without anion corrections at -1.974 eV per atom. Its symmetry is Fm-3m, No. 225. Its density of states at the Fermi level is 13.5 states/eV/f.u. The magnetic moment is 6.249 μB/f.u.

```
Er6PuS8
1.0
0.000 5.468 5.468
5.468 0.000 5.468
5.468 5.468 0.000
Er Pu S
6 1 8
Direct
0.000 0.000 0.500
0.000 0.500 0.000
0.000 0.500 0.500
0.500 0.000 0.000
0.500 0.000 0.500
0.500 0.500 0.000
0.000 0.000 0.000
0.250 0.250 0.250
0.255 0.255 0.745
0.255 0.745 0.255
0.255 0.745 0.745
0.745 0.255 0.255
0.745 0.255 0.745
0.745 0.745 0.255
0.750 0.750 0.750
```